Entry from Alexandria via LeMat-Bulk: Pm2Y6ErSc after structural relaxation (GGA-PBE).

Calculated values
**Mass density**: 5.35 g/cm³

Lattice parameters (Å, degrees): 9.2320 9.2320 8.7257 91.44 91.44 120.02
Element x y z (fractional)
Pm (0.1834, 0.2887, 0.4494)
Pm (0.2887, 0.1834, 0.9494)
Pm (0.7113, 0.8166, 0.0506)
Pm (0.8166, 0.7113, 0.5506)
Y (0.0288, 0.7631, 0.9095)
Y (0.0395, 0.4491, 0.7060)
Y (0.2369, 0.9712, 0.5905)
Y (0.2957, 0.6312, 0.0509)
Y (0.3688, 0.7043, 0.4491)
Y (0.4491, 0.0395, 0.2060)
Y (0.5509, 0.9605, 0.7940)
Y (0.6312, 0.2957, 0.5509)
Y (0.7043, 0.3688, 0.9491)
Y (0.7631, 0.0288, 0.4095)
Y (0.9605, 0.5509, 0.2940)
Y (0.9712, 0.2369, 0.0905)
Er (0.4684, 0.5316, 0.7500)
Er (0.5316, 0.4684, 0.2500)
Sc (0.0532, 0.9468, 0.2500)
Sc (0.9468, 0.0532, 0.7500)

=====

Entry from Alexandria via LeMat-Bulk: KCaY2 after structural relaxation (GGA-PBE).

Calculated values
**Mass density**: 2.75 g/cm³
**Energy above the most stable polymorph in this dataset**: 0.282 eV/atom

Lattice parameters (Å, degrees): 8.5275 8.5275 8.5275 90.00 90.00 90.00
Element x y z (fractional)
K (0.0000, 0.0000, 0.0000)
K (0.0000, 0.5000, 0.5000)
K (0.5000, 0.0000, 0.5000)
K (0.5000, 0.5000, 0.0000)
Ca (0.2500, 0.2500, 0.2500)
Ca (0.2500, 0.7500, 0.7500)
Ca (0.7500, 0.2500, 0.7500)
Ca (0.7500, 0.7500, 0.2500)
Y (0.0000, 0.0000, 0.5000)
Y (0.0000, 0.5000, 0.0000)
Y (0.2500, 0.2500, 0.7500)
Y (0.2500, 0.7500, 0.2500)
Y (0.5000, 0.0000, 0.0000)
Y (0.5000, 0.5000, 0.5000)
Y (0.7500, 0.2500, 0.2500)
Y (0.7500, 0.7500, 0.7500)

=====

Entry from Alexandria via LeMat-Bulk: BaCr2MoW after structural relaxation (GGA-PBE).

Calculated values
**Mass density**: 7.59 g/cm³

Lattice parameters (Å, degrees): 4.5274 4.5274 5.5639 90.00 90.00 90.00
Element x y z (fractional)
Ba (0.0000, 0.0000, 0.0000)
Cr (0.0000, 0.5000, 0.5000)
Cr (0.5000, 0.0000, 0.5000)
Mo (0.5000, 0.5000, 0.0000)
W (0.0000, 0.0000, 0.5000)

=====

Summary of energy of formation in eV/atom
0.1177, 0.4643, 2.3918
(order as listed above)
Summary of V in Å³ per cell
643.1, 620.1, 114.0
(order as listed above)
Summary of final energy in eV/atom
-5.80, -3.54, -6.60
(order as listed above)